[1]
{
  "formula": "ZnMo2C",
  "functional": "GGA-PBE",
  "state": "optimized geometry",
  "e_form_ev_per_atom": 1.002,
  "m_tot_mub_per_cell": 0.0,
  "space_group": "I-42d (122)",
  "de_polymorph_mev_per_atom": 1021.6,
  "lattice": [[-2.4808, 2.4808, 5.5655], [2.4808, -2.4808, 5.5655], [2.4808, 2.4808, -5.5655]],
  "species": ["Zn", "Zn", "Mo", "Mo", "Mo", "Mo", "C", "C"],
  "frac_coords": [[0.0000, 0.0000, 0.0000], [0.7500, 0.2500, 0.5000], [0.2351, 0.6250, 0.1101], [0.3750, 0.4851, 0.6101], [0.5149, 0.1250, 0.8899], [0.8750, 0.7649, 0.3899], [0.2500, 0.7500, 0.5000], [0.5000, 0.5000, 0.0000]]
}

[2]
{
  "formula": "Zn3Mo3C",
  "functional": "GGA-PBE",
  "state": "optimized geometry",
  "e_form_ev_per_atom": -0.085,
  "m_tot_mub_per_cell": 0.0,
  "space_group": "Fd-3m (227)",
  "lattice": [[0.0000, 5.7066, 5.7066], [5.7066, 0.0000, 5.7066], [5.7066, 5.7066, 0.0000]],
  "species": ["Zn", "Zn", "Zn", "Zn", "Zn", "Zn", "Zn", "Zn", "Zn", "Zn", "Zn", "Zn", "Mo", "Mo", "Mo", "Mo", "Mo", "Mo", "Mo", "Mo", "Mo", "Mo", "Mo", "Mo", "C", "C", "C", "C"],
  "frac_coords": [[0.0000, 0.0000, 0.0000], [0.0000, 0.0000, 0.5000], [0.0000, 0.5000, 0.0000], [0.1304, 0.7899, 0.7899], [0.2101, 0.2101, 0.2101], [0.2101, 0.2101, 0.8696], [0.2101, 0.8696, 0.2101], [0.5000, 0.0000, 0.0000], [0.7899, 0.1304, 0.7899], [0.7899, 0.7899, 0.1304], [0.7899, 0.7899, 0.7899], [0.8696, 0.2101, 0.2101], [0.1868, 0.1868, 0.5632], [0.1868, 0.5632, 0.1868], [0.1868, 0.5632, 0.5632], [0.4368, 0.4368, 0.8132], [0.4368, 0.8132, 0.4368], [0.4368, 0.8132, 0.8132], [0.5632, 0.1868, 0.1868], [0.5632, 0.1868, 0.5632], [0.5632, 0.5632, 0.1868], [0.8132, 0.4368, 0.4368], [0.8132, 0.4368, 0.8132], [0.8132, 0.8132, 0.4368], [0.0000, 0.5000, 0.5000], [0.5000, 0.0000, 0.5000], [0.5000, 0.5000, 0.0000], [0.5000, 0.5000, 0.5000]]
}

[3]
{
  "formula": "Zn2MoC",
  "functional": "GGA-PBE",
  "state": "optimized geometry",
  "e_form_ev_per_atom": 0.678,
  "m_tot_mub_per_cell": 0.0,
  "space_group": "I-42d (122)",
  "lattice": [[-3.5063, 3.5063, 2.1470], [3.5063, -3.5063, 2.1470], [3.5063, 3.5063, -2.1470]],
  "species": ["Zn", "Zn", "Zn", "Zn", "Mo", "Mo", "C", "C"],
  "frac_coords": [[0.0439, 0.6250, 0.9189], [0.3750, 0.2939, 0.4189], [0.7061, 0.1250, 0.0811], [0.8750, 0.9561, 0.5811], [0.2500, 0.7500, 0.5000], [0.5000, 0.5000, 0.0000], [0.0000, 0.0000, 0.0000], [0.7500, 0.2500, 0.5000]]
}